(1)
# LiCu2SnH (GGA-PBE, optimized geometry)
data_LiCu2SnH
_chemical_formula_sum 'Li1 Cu2 Sn1 H1'
_symmetry_space_group_name_H-M 'P 4/m m m'
_symmetry_Int_Tables_number 123
_symmetry_space_group_name_Hall '-P 4 2'
_cell_length_a 3.929
_cell_length_b 3.929
_cell_length_c 4.012
_cell_angle_alpha 90.00
_cell_angle_beta 90.00
_cell_angle_gamma 90.00
loop_
_atom_site_label
_atom_site_type_symbol
_atom_site_fract_x
_atom_site_fract_y
_atom_site_fract_z
Li1 Li 0.000 0.000 0.000
Cu1 Cu 0.000 0.500 0.500
Sn1 Sn 0.500 0.500 0.000
H1 H 0.000 0.000 0.500
# - Total energy: -17.7 eV for the cell shown

=====

(2)
# SrLi2CuH (GGA-PBE, optimized geometry)
data_SrLi2CuH
_chemical_formula_sum 'Sr1 Li2 Cu1 H1'
_symmetry_space_group_name_H-M 'P 4/m m m'
_symmetry_Int_Tables_number 123
_symmetry_space_group_name_Hall '-P 4 2'
_cell_length_a 4.233
_cell_length_b 4.233
_cell_length_c 5.147
_cell_angle_alpha 90.00
_cell_angle_beta 90.00
_cell_angle_gamma 90.00
loop_
_atom_site_label
_atom_site_type_symbol
_atom_site_fract_x
_atom_site_fract_y
_atom_site_fract_z
Sr1 Sr 0.000 0.000 0.000
Li1 Li 0.000 0.500 0.500
Cu1 Cu 0.500 0.500 0.000
H1 H 0.000 0.000 0.500
# - Total energy: -13.2 eV for the cell shown

=====

(3)
# Sr2LiCuH6 (GGA-PBE, optimized geometry)
data_Sr2LiCuH6
_chemical_formula_sum 'Sr12 Li6 Cu6 H36'
_symmetry_space_group_name_H-M 'R -3 m'
_symmetry_Int_Tables_number 166
_symmetry_space_group_name_Hall '-R 3 2"'
_cell_length_a 5.3517
_cell_length_b 5.3517
_cell_length_c 26.5583
_cell_angle_alpha 90.00
_cell_angle_beta 90.00
_cell_angle_gamma 120.00
loop_
_atom_site_label
_atom_site_type_symbol
_atom_site_fract_x
_atom_site_fract_y
_atom_site_fract_z
Sr1 Sr 0.0000 0.0000 0.1265
Sr2 Sr 0.0000 0.0000 0.2905
Li1 Li 0.0000 0.0000 0.4111
Cu1 Cu 0.0000 0.0000 0.0000
Cu2 Cu 0.0000 0.0000 0.5000
H1 H 0.0069 0.5034 0.1259
H2 H 0.0108 0.5054 0.7063
# - Total energy: -201.0 eV for the cell shown

=====

(4)
# Sr2LiCuH (GGA-PBE, optimized geometry)
data_Sr2LiCuH
_chemical_formula_sum 'Sr2 Li1 Cu1 H1'
_symmetry_space_group_name_H-M 'P 4/m m m'
_symmetry_Int_Tables_number 123
_symmetry_space_group_name_Hall '-P 4 2'
_cell_length_a 5.510
_cell_length_b 5.510
_cell_length_c 3.922
_cell_angle_alpha 90.00
_cell_angle_beta 90.00
_cell_angle_gamma 90.00
loop_
_atom_site_label
_atom_site_type_symbol
_atom_site_fract_x
_atom_site_fract_y
_atom_site_fract_z
Sr1 Sr 0.000 0.500 0.000
Li1 Li 0.000 0.000 0.500
Cu1 Cu 0.500 0.500 0.500
H1 H 0.500 0.500 0.000
# - Energy above the most stable polymorph in this dataset: 67.6 meV per atom

=====

(5)
# Sr2LiCuH (GGA-PBE, optimized geometry)
data_Sr2LiCuH
_chemical_formula_sum 'Sr2 Li1 Cu1 H1'
_symmetry_space_group_name_H-M 'P 4/m m m'
_symmetry_Int_Tables_number 123
_symmetry_space_group_name_Hall '-P 4 2'
_cell_length_a 5.278
_cell_length_b 5.278
_cell_length_c 3.977
_cell_angle_alpha 90.00
_cell_angle_beta 90.00
_cell_angle_gamma 90.00
loop_
_atom_site_label
_atom_site_type_symbol
_atom_site_fract_x
_atom_site_fract_y
_atom_site_fract_z
Sr1 Sr 0.000 0.500 0.000
Li1 Li 0.000 0.000 0.500
Cu1 Cu 0.500 0.500 0.500
H1 H 0.000 0.000 0.000
# - Energy above the most stable polymorph in this dataset: 0.0 meV per atom

=====

(6)
# LiThCu2H8 (GGA-PBE, optimized geometry)
data_LiThCu2H8
_chemical_formula_sum 'Li1 Th1 Cu2 H8'
_symmetry_space_group_name_H-M 'P -3 m 1'
_symmetry_Int_Tables_number 164
_symmetry_space_group_name_Hall '-P 3 2"'
_cell_length_a 4.6699
_cell_length_b 4.6699
_cell_length_c 6.9642
_cell_angle_alpha 90.00
_cell_angle_beta 90.00
_cell_angle_gamma 120.00
loop_
_atom_site_label
_atom_site_type_symbol
_atom_site_fract_x
_atom_site_fract_y
_atom_site_fract_z
Li1 Li 0.0000 0.0000 0.0000
Th1 Th 0.0000 0.0000 0.5000
Cu1 Cu 0.3333 0.6667 0.7192
H1 H 0.1446 0.2893 0.7847
H2 H 0.3333 0.6667 0.4821
# - Total energy: -45.1 eV for the cell shown